Record 1
## CdHg2Pb (GGA-PBE)

Data for a geometry-optimized CdHg2Pb structure.

```
4
Lattice="0.1204 4.2066 3.5039 -2.8331 2.1126 4.1830 2.5703 -2.0290 4.9227" Properties=species:S:1:pos:R:3 pbc="T T T"
Hg -2.6622 6.2621 7.7303
Cd -0.1279 1.1723 3.0583
Hg -0.0729 3.1640 9.4391
Pb -0.0631 2.1561 6.3738
```

Properties
Its total energy is -1.2642 eV per atom. The magnetic moment comes out at 0.00 μB/f.u. Its crystal system is monoclinic. The space group is Cm. The value obtained for the formation energy is 0.043 eV per atom. As for the volume: 107.3 Å³/cell. The value obtained for the density is 11.2 Mg/m³.


Record 2
## La2MnW (GGA-PBE)

Data for a geometry-optimized La2MnW structure.

```
4
Lattice="-0.4258 2.5637 -1.5774 -1.4018 -3.5095 -5.3255 -5.3658 -1.8899 -1.6232" Properties=species:S:1:pos:R:3 pbc="T T T"
W -2.6829 -0.9450 -0.8116
La 0.0000 0.0000 0.0000
La -0.9138 -0.4729 -3.4514
Mn -3.5967 -1.4179 -4.2631
```

Properties
For the energy above the most stable polymorph in this dataset, the calculation gives 0.5539 eV per atom. Its total energy is -7.1222 eV per atom. The magnetic moment comes out at 2.83 μB/f.u. Its crystal system is monoclinic. The space group is P2/m. The value obtained for the formation energy is 0.872 eV per atom. As for the volume: 94.8 Å³/cell. The value obtained for the density is 9.0 Mg/m³.


Record 3
## RbP2PbCl (GGA-PBE)

Data for a geometry-optimized RbP2PbCl structure.

```
5
Lattice="-2.3585 0.2913 -4.9971 -3.7351 -3.7801 1.5424 -3.3964 4.1077 1.8425" Properties=species:S:1:pos:R:3 pbc="T T T"
Pb -4.7449 0.3095 -0.8061
P -1.1792 0.1457 -2.4986
Rb 0.0000 0.0000 0.0000
Cl -1.6982 2.0539 0.9212
P -1.8675 -1.8900 0.7712
```

Properties
For the energy above the most stable polymorph in this dataset, the calculation gives 0.8872 eV per atom. Its total energy is -2.4489 eV per atom. The magnetic moment comes out at 1.50 μB/f.u. Its crystal system is tetragonal. The calculation puts the uncorrected formation energy at 5.098 eV/f.u. The space group is P4/mmm. As for the volume: 172.7 Å³/cell. The value obtained for the density is 3.8 Mg/m³.


Q: Number 3 is which compound?
A: RbP2PbCl


Repeat the third record exactly.
## RbP2PbCl (GGA-PBE)

Data for a geometry-optimized RbP2PbCl structure.

```
5
Lattice="-2.3585 0.2913 -4.9971 -3.7351 -3.7801 1.5424 -3.3964 4.1077 1.8425" Properties=species:S:1:pos:R:3 pbc="T T T"
Pb -4.7449 0.3095 -0.8061
P -1.1792 0.1457 -2.4986
Rb 0.0000 0.0000 0.0000
Cl -1.6982 2.0539 0.9212
P -1.8675 -1.8900 0.7712
```

Properties
For the energy above the most stable polymorph in this dataset, the calculation gives 0.8872 eV per atom. Its total energy is -2.4489 eV per atom. The magnetic moment comes out at 1.50 μB/f.u. Its crystal system is tetragonal. The calculation puts the uncorrected formation energy at 5.098 eV/f.u. The space group is P4/mmm. As for the volume: 172.7 Å³/cell. The value obtained for the density is 3.8 Mg/m³.


Q: Which value of total energy does entry 3 give?
A: -2.4489 eV per atom